1.
28
Lattice="4.098 0.000 0.000 0.000 6.591 0.000 0.000 0.000 18.682" Properties=species:S:1:pos:R:3 comment="ThSi4Pt2 | the Alexandria database | GGA-PBE | relaxed" e_form_raw_mev_per_atom=-650 dos_ef_per_ev_cell=16.71 dft_energy_ev_per_atom=-6.53 pbc="T T T"
Pt 1.025 0.071 15.056
Si 3.074 4.116 18.093
Si 3.074 6.304 1.182
Si 1.025 0.287 17.500
Si 3.074 5.771 8.752
Si 1.025 3.008 8.159
Si 1.025 1.319 3.916
Pt 1.025 3.225 5.714
Si 3.074 5.272 14.766
Si 1.025 4.537 12.290
Pt 1.025 4.870 9.734
Si 1.025 2.475 0.589
Si 1.025 1.977 13.258
Si 1.025 5.349 2.949
Si 3.074 2.054 6.392
Pt 3.074 3.366 12.968
Th 3.074 3.182 2.677
Si 1.025 0.820 9.931
Pt 1.025 5.016 0.392
Pt 3.074 1.721 8.949
Th 1.025 6.477 6.664
Pt 3.074 6.520 3.627
Si 3.074 4.614 5.425
Si 3.074 3.582 10.524
Th 1.025 3.409 16.006
Th 3.074 0.114 12.018
Pt 3.074 1.575 18.290
Si 3.074 1.241 15.733

=====

2.
6
Lattice="-1.988 2.112 7.653 1.988 -2.112 7.653 1.988 2.112 -7.653" Properties=species:S:1:pos:R:3 comment="ThSiPt | the Alexandria database | GGA-PBE | relaxed" e_form_raw_mev_per_atom=-1018 dos_ef_per_ev_cell=3.74 dft_energy_ev_per_atom=-7.31 pbc="T T T"
Pt 0.000 1.056 8.511
Th 0.000 1.056 1.954
Si 1.988 1.056 -3.230
Pt 1.988 1.056 -0.858
Th 1.988 1.056 5.698
Si 0.000 1.056 10.882

=====

3.
6
Lattice="7.976 0.006 0.000 5.796 5.479 0.000 -6.886 -2.742 2.946" Properties=species:S:1:pos:R:3 comment="ThSiPt | the Alexandria database | GGA-PBE | relaxed" e_form_raw_mev_per_atom=-1187 dos_ef_per_ev_cell=4.94 dft_energy_ev_per_atom=-7.48 pbc="T T T"
Th 7.995 3.184 0.000
Si 0.004 0.002 0.000
Pt 2.289 0.911 0.000
Si 3.992 0.004 1.473
Th 4.007 3.181 1.473
Pt 6.276 0.914 1.473

=====

4.
16
Lattice="-0.271 -3.604 -2.330 5.113 0.378 2.789 -5.840 -7.108 11.671" Properties=species:S:1:pos:R:3 comment="Th3Si2Pt3 | the Alexandria database | GGA-PBE | relaxed" e_form_raw_mev_per_atom=-1108 dos_ef_per_ev_cell=10.60 dft_energy_ev_per_atom=-7.51 pbc="T T T"
Pt -1.756 -7.870 12.375
Pt 0.758 -2.464 -0.246
Th -0.572 -6.420 9.996
Si -0.320 -3.373 5.254
Si 1.370 -1.316 1.876
Th -0.426 -3.913 2.134
Pt 1.878 -2.732 4.007
Si -2.368 -9.018 10.253
Th -2.634 -4.545 7.335
Pt -1.622 -5.360 4.510
Th 1.636 -5.789 4.795
Th 3.346 -3.707 1.376
Si -0.678 -6.960 6.876
Pt -2.877 -7.602 8.123
Th -4.345 -6.627 10.753
Pt 0.624 -4.974 7.620

=====

5.
10
Lattice="4.202 0.000 0.000 0.000 4.202 0.000 0.000 -2.101 10.786" Properties=species:S:1:pos:R:3 comment="ThSi3Pt | the Alexandria database | GGA-PBE | relaxed" e_form_raw_mev_per_atom=-751 dos_ef_per_ev_cell=2.25 dft_energy_ev_per_atom=-6.70 pbc="T T T"
Th 2.101 2.101 7.091
Si 0.000 0.000 5.975
Pt 0.000 2.101 2.375
Si 2.101 0.000 9.618
Si 0.000 2.101 9.626
Si 2.101 2.101 1.168
Si 0.000 0.000 1.160
Si 0.000 2.101 4.811
Th 2.101 0.000 3.696
Pt 0.000 0.000 8.411

=====

6.
3
Lattice="-3.124 0.466 -2.512 0.639 -3.947 -1.527 -2.600 0.605 3.345" Properties=species:S:1:pos:R:3 comment="ThSiPt | the Alexandria database | GGA-PBE | relaxed" e_form_raw_mev_per_atom=-1169 dos_ef_per_ev_cell=2.80 dft_energy_ev_per_atom=-7.46 pbc="T T T"
Th -2.520 -2.119 -1.575
Pt -2.072 -0.830 1.277
Si -0.493 0.074 -0.397

=====

7.
8
Lattice="-1.668 3.723 0.663 -1.772 0.226 -5.728 -5.928 -3.533 4.928" Properties=species:S:1:pos:R:3 comment="Th2SiPt | the Alexandria database | GGA-PBE | relaxed" e_form_raw_mev_per_atom=-932 dos_ef_per_ev_cell=7.46 dft_energy_ev_per_atom=-7.51 pbc="T T T"
Th -7.052 -0.396 3.814
Si -2.263 0.273 -0.784
Pt -5.282 -1.503 1.595
Pt -4.086 1.920 -1.732
Th -5.168 -0.889 -1.565
Th -2.315 0.813 -3.951
Si -7.105 0.144 0.647
Th -4.199 1.306 1.428

=====

8.
17
Lattice="7.304 0.000 0.000 -2.435 6.886 0.000 -2.435 -3.443 5.964" Properties=species:S:1:pos:R:3 comment="ThSi4Pt12 | the Alexandria database | GGA-PBE | relaxed" e_form_raw_mev_per_atom=-495 dos_ef_per_ev_cell=5.74 dft_energy_ev_per_atom=-6.47 pbc="T T T"
Si 3.652 0.000 0.000
Pt -1.567 4.601 2.028
Th 0.000 0.000 0.000
Pt 0.009 -1.659 4.999
Pt -2.426 1.715 4.901
Pt 4.001 -1.158 3.936
Pt -0.868 0.614 2.993
Si -1.217 -1.722 2.982
Pt 4.861 1.728 1.063
Pt 1.567 0.545 4.999
Pt 2.444 -0.057 2.028
Pt 2.426 5.102 0.965
Pt -0.009 3.500 3.936
Pt 3.303 2.829 2.971
Pt 0.868 2.899 0.965
Si -1.217 3.443 0.000
Si 1.217 1.722 2.982

=====

9.
20
Lattice="-2.436 0.679 3.331 -2.678 -6.435 -0.647 10.481 -4.970 6.052" Properties=species:S:1:pos:R:3 comment="Th2Si3Pt5 | the Alexandria database | GGA-PBE | relaxed" e_form_raw_mev_per_atom=-951 dos_ef_per_ev_cell=8.49 dft_energy_ev_per_atom=-7.08 pbc="T T T"
Si 5.617 -6.870 8.133
Si -0.455 -4.057 3.120
Pt 3.075 -1.831 5.247
Pt 7.058 -4.438 8.691
Th 4.128 -4.370 6.535
Pt -1.844 -5.914 2.483
Si -1.524 -6.918 0.296
Pt 3.138 -8.525 4.032
Pt 6.704 -6.030 6.131
Pt 1.453 -4.065 4.517
Si 2.184 -6.787 5.606
Pt 3.614 -5.718 3.808
Pt 3.608 -8.344 6.965
Si 7.073 -3.663 5.919
Pt -0.793 -4.131 0.262
Th -1.495 -1.617 1.862
Th 6.757 -9.360 6.849
Th 1.174 -6.511 2.186
Si 3.462 -3.269 3.198
Pt 1.455 -3.111 1.698

=====

10.
16
Lattice="-1.261 -3.752 1.497 3.876 -0.654 -4.354 11.475 0.208 10.184" Properties=species:S:1:pos:R:3 comment="Th3Si3Pt2 | the Alexandria database | GGA-PBE | relaxed" e_form_raw_mev_per_atom=-1040 dos_ef_per_ev_cell=8.70 dft_energy_ev_per_atom=-7.37 pbc="T T T"
Th 6.369 -3.620 2.272
Th 7.721 -0.577 5.055
Th 11.348 -1.981 4.592
Si 4.972 -2.162 4.750
Pt 8.684 -3.501 4.521
Th 2.800 -3.685 -0.896
Si 9.118 -2.036 2.577
Si 0.476 -2.243 0.760
Si 4.809 -1.460 0.391
Si 9.282 -2.738 6.936
Pt 5.406 -0.697 2.806
Si 13.614 -1.954 6.567
Th 11.290 -0.513 8.222
Pt 11.766 -3.445 7.255
Th 2.742 -2.216 2.735
Pt 2.325 -0.753 0.072

=====

11.
18
Lattice="-2.261 0.145 3.181 -2.520 -4.509 -3.984 7.352 -9.091 5.639" Properties=species:S:1:pos:R:3 comment="ThSi3Pt5 | the Alexandria database | GGA-PBE | relaxed" e_form_raw_mev_per_atom=-857 dos_ef_per_ev_cell=4.40 dft_energy_ev_per_atom=-6.85 pbc="T T T"
Si -1.764 -1.262 1.201
Si -2.176 -5.705 1.110
Pt 3.385 -6.126 5.081
Pt 2.823 -7.231 2.335
Si 4.747 -7.750 3.726
Pt 4.881 -7.976 6.228
Pt -0.814 -7.329 -0.245
Si 4.335 -12.194 3.635
Th 1.944 -9.711 4.220
Pt 3.676 -4.546 2.819
Pt -2.583 -3.342 0.713
Si 1.452 -5.239 3.667
Pt -2.310 -5.479 -1.393
Pt 5.154 -10.114 4.123
Th 0.627 -3.745 0.616
Pt -0.252 -6.225 2.501
Si 1.119 -8.217 1.169
Pt 0.000 0.000 0.000

=====

12.
3
Lattice="-1.355 0.449 -3.781 3.667 -0.924 -1.424 -2.219 -3.824 2.501" Properties=species:S:1:pos:R:3 comment="ThSiPt | the Alexandria database | GGA-PBE | relaxed" e_form_raw_mev_per_atom=-514 dos_ef_per_ev_cell=2.85 dft_energy_ev_per_atom=-6.81 pbc="T T T"
Si 0.160 -4.043 -2.698
Pt -0.549 -2.098 -0.052
Th 0.894 -1.238 -2.627

=====

13.
10
Lattice="-2.398 -1.286 3.328 -3.264 -0.829 -2.672 3.287 -9.161 -1.172" Properties=species:S:1:pos:R:3 comment="ThSi2Pt2 | the Alexandria database | GGA-PBE | relaxed" e_form_raw_mev_per_atom=-1136 dos_ef_per_ev_cell=4.03 dft_energy_ev_per_atom=-7.21 pbc="T T T"
Th 1.264 -7.509 0.786
Si 1.643 -4.581 -0.586
Pt 0.054 -4.135 1.217
Si -1.187 -5.638 -0.258
Pt -2.831 -1.058 0.328
Pt 0.000 0.000 0.000
Si -0.764 -1.855 1.509
Th -0.808 -2.710 -1.630
Pt 0.402 -6.084 -2.061
Si 1.220 -8.365 -2.353

=====

14.
9
Lattice="-2.621 3.167 1.174 2.231 -2.136 2.956 9.099 7.949 -1.125" Properties=species:S:1:pos:R:3 comment="ThSiPt | the Alexandria database | GGA-PBE | relaxed" e_form_raw_mev_per_atom=-1173 dos_ef_per_ev_cell=6.61 dft_energy_ev_per_atom=-7.47 pbc="T T T"
Si 4.846 3.796 0.581
Pt 1.870 1.196 0.949
Th 3.935 2.096 3.132
Th 0.911 -0.546 3.506
Pt 3.843 5.196 2.349
Th 6.985 4.760 2.755
Pt 7.823 6.397 0.213
Si 6.911 7.876 1.970
Si 0.774 2.515 2.729

=====

15.
9
Lattice="4.301 0.000 0.000 -2.151 5.341 -1.317 0.000 -0.708 8.608" Properties=species:S:1:pos:R:3 comment="Th3Si2Pt4 | the Alexandria database | GGA-PBE | relaxed" e_form_raw_mev_per_atom=-1184 dos_ef_per_ev_cell=7.05 dft_energy_ev_per_atom=-7.55 pbc="T T T"
Pt 0.000 0.364 3.110
Th 0.000 3.346 1.961
Pt 2.151 4.269 4.180
Th 2.151 1.287 5.330
Pt 0.000 2.446 7.198
Si 0.000 3.659 5.096
Th 0.000 0.000 0.000
Si 2.151 0.973 2.195
Pt 2.151 2.186 0.093

=====

16.
4
Lattice="4.206 0.000 0.000 2.103 3.642 0.000 2.103 1.214 5.186" Properties=species:S:1:pos:R:3 comment="ThSiPt2 | the Alexandria database | GGA-PBE | relaxed" e_form_raw_mev_per_atom=-1063 dos_ef_per_ev_cell=2.93 dft_energy_ev_per_atom=-7.29 pbc="T T T"
Th 0.000 0.000 0.000
Pt 6.308 3.642 3.363
Pt 2.103 1.214 1.823
Si 4.206 2.428 2.593

=====

17.
12
Lattice="3.873 0.000 -1.005 0.000 6.848 0.000 0.020 0.000 8.044" Properties=species:S:1:pos:R:3 comment="ThSiPt4 | the Alexandria database | GGA-PBE | relaxed" e_form_raw_mev_per_atom=-970 dos_ef_per_ev_cell=4.30 dft_energy_ev_per_atom=-7.14 pbc="T T T"
Th 0.413 1.712 1.593
Pt 0.313 5.136 1.205
Pt 2.654 3.728 2.266
Pt 1.936 0.000 -0.502
Pt 1.238 0.304 4.774
Pt 3.580 1.712 5.834
Th 3.480 5.136 5.447
Pt 1.936 3.424 -0.502
Pt 1.238 3.120 4.774
Pt 2.654 6.543 2.266
Si 2.971 1.712 3.485
Si 0.922 5.136 3.555

=====

18.
12
Lattice="5.456 -0.295 -1.819 -1.222 5.325 -1.819 0.343 0.407 8.723" Properties=species:S:1:pos:R:3 comment="Th2SiPt3 | the Alexandria database | GGA-PBE | relaxed" e_form_raw_mev_per_atom=-1161 dos_ef_per_ev_cell=8.18 dft_energy_ev_per_atom=-7.56 pbc="T T T"
Pt 4.115 1.696 -0.626
Si 2.922 3.472 0.442
Pt 0.900 1.069 2.526
Pt 0.462 3.742 5.712
Pt 0.969 4.344 -0.626
Th 0.619 4.124 2.543
Th 1.026 1.219 -0.882
Si 1.654 1.965 4.644
Th 3.207 3.811 -2.756
Pt 3.676 4.368 2.559
Th 3.958 1.313 2.543
Pt 3.608 1.093 5.712

=====

19.
10
Lattice="4.250 0.000 0.000 0.000 4.250 0.000 0.000 0.000 10.170" Properties=species:S:1:pos:R:3 comment="Th2TiSi4Pt3 | the Alexandria database | GGA-PBE | relaxed" e_form_raw_mev_per_atom=-1046 dos_ef_per_ev_cell=5.55 dft_energy_ev_per_atom=-7.30 pbc="T T T"
Si 2.125 0.000 6.521
Si 2.125 2.125 0.000
Ti 2.125 2.125 5.085
Th 0.000 2.125 7.687
Pt 0.000 0.000 5.085
Pt 2.125 0.000 8.988
Pt 0.000 2.125 1.182
Si 0.000 2.125 3.650
Th 2.125 0.000 2.483
Si 0.000 0.000 0.000

=====

20.
6
Lattice="4.260 0.000 0.000 -2.130 3.689 0.000 0.000 0.000 6.912" Properties=species:S:1:pos:R:3 comment="ThTiSi2Pt2 | the Alexandria database | GGA-PBE | relaxed" e_form_raw_mev_per_atom=-1045 dos_ef_per_ev_cell=4.52 dft_energy_ev_per_atom=-7.42 pbc="T T T"
Ti 0.000 0.000 3.456
Si 2.130 1.230 2.035
Si 0.000 2.459 4.877
Pt 0.000 2.459 2.138
Th 0.000 0.000 0.000
Pt 2.130 1.230 4.774

=====

21.
10
Lattice="4.252 0.000 0.000 0.000 4.252 0.000 0.000 0.000 10.252" Properties=species:S:1:pos:R:3 comment="Th2TiSi3Pt4 | the Alexandria database | GGA-PBE | relaxed" e_form_raw_mev_per_atom=-1099 dos_ef_per_ev_cell=8.06 dft_energy_ev_per_atom=-7.42 pbc="T T T"
Pt 0.000 2.126 3.744
Si 0.000 2.126 1.334
Pt 2.126 0.000 6.508
Th 2.126 0.000 2.498
Si 2.126 0.000 8.918
Ti 2.126 2.126 5.126
Pt 2.126 2.126 0.000
Si 0.000 0.000 5.126
Pt 0.000 0.000 0.000
Th 0.000 2.126 7.754